Material: PuZrSe2O
Method: DFT, PBE-GGA
State: optimized geometry

extended XYZ file:
```
10
Lattice="3.830 0.000 0.000 0.000 3.830 0.000 0.000 0.000 13.504" Properties=species:S:1:pos:R:3 pbc="T T T"
Pu 0.958 0.958 1.267
Pu 2.873 2.873 12.237
Zr 0.958 0.958 7.919
Zr 2.873 2.873 5.586
Se 0.958 0.958 5.135
Se 0.958 0.958 10.723
Se 2.873 2.873 2.781
Se 2.873 2.873 8.369
O 0.958 2.873 0.000
O 2.873 0.958 0.000
```

Properties
Space group: P4/nmm, No. 129
Crystal system: tetragonal
Electronic total energy: -0.3269 hartree per atom